Here is a crystal of CaWF5 relaxed with PBEsol from Alexandria via LeMat-Bulk. Energies are from SCAN.

Values from the calculation:
As for the symmetry: No. 15. The uncorrected formation energy is -2.91 eV/atom. The total moment comes out at 3.00 μB per formula unit.

```
CaWF5
1.0
4.585 -3.385 0.000
4.585 3.385 0.000
-3.090 0.000 7.062
Ca W F
2 2 10
direct
0.031 0.969 0.750
0.969 0.031 0.250
0.500 0.500 0.000
0.500 0.500 0.500
0.191 0.797 0.028
0.203 0.809 0.472
0.232 0.288 0.373
0.288 0.232 0.873
0.385 0.615 0.750
0.615 0.385 0.250
0.712 0.768 0.127
0.768 0.712 0.627
0.797 0.191 0.528
0.809 0.203 0.972
```